HfIn2Cl2: optimized geometry, PBE.

Unit cell a=3.758 b=3.758 c=21.783 alpha=90.00 beta=90.00 gamma=90.00
Element x y z (fractional)
Hf: 0.000 0.000 0.000
Hf: 0.500 0.500 0.500
In: 0.000 0.500 0.250
In: 0.000 0.500 0.750
In: 0.500 0.000 0.250
In: 0.500 0.000 0.750
Cl: 0.000 0.000 0.432
Cl: 0.000 0.000 0.568
Cl: 0.500 0.500 0.068
Cl: 0.500 0.500 0.932

E ... -3.751 eV/atom
Offset from the most stable computed form ... 0.182 eV/atom
Symmetry ... I4/mmm, No. 139
E_form (uncorrected) ... 0.074 eV/atom